{"formula": "SrLiMnO3", "functional": "GGA+U", "state": "relaxed", "lattice_angstrom": [[5.384, 0.000, 0.000], [0.000, 5.351, 0.000], [0.000, -2.675, 5.202]], "species": ["Sr", "Sr", "Li", "Li", "Mn", "Mn", "O", "O", "O", "O", "O", "O"], "frac_coords": [[0.750, 0.213, 0.425], [0.250, 0.787, 0.575], [0.250, 0.076, 0.153], [0.750, 0.924, 0.847], [0.250, 0.463, 0.925], [0.750, 0.537, 0.075], [0.250, 0.261, 0.523], [0.000, 0.250, 0.000], [0.500, 0.750, 0.000], [0.500, 0.250, 0.000], [0.000, 0.750, 0.000], [0.750, 0.739, 0.477]], "total_energy_ev_per_fu": -38.220}